This record from Alexandria describes a PBEsol-optimized structure of BaSr3Ni. The functional is SCAN.

```
BaSr3Ni
1.0
5.937 0.000 0.000
0.000 5.937 0.000
0.000 0.000 5.937
Ba Sr Ni
1 3 1
Cartesian
0.000 0.000 0.000
0.000 2.969 2.969
2.969 0.000 2.969
2.969 2.969 0.000
2.969 2.969 2.969
```

Magnetization in Bohr magnetons per cell: 0.00
Density of states at the Fermi level in states/eV/atom: 0.769
Space group: Pm-3m (221)
DFT formation energy in eV/atom: 0.0560

---

This record from Alexandria describes a PBEsol-optimized structure of BaSrNi2. The functional is SCAN.

```
BaSrNi2
1.0
-2.114 2.114 5.259
2.114 -2.114 5.259
2.114 2.114 -5.259
Ba Sr Ni
1 1 2
Cartesian
0.000 0.000 0.000
2.114 0.000 2.630
0.000 0.000 5.259
0.000 2.114 2.630
```

Polymorph energy (0 for the lowest one) in meV per atom: 439
Magnetization in Bohr magnetons per cell: 0.00
Density of states at the Fermi level in states/eV/atom: 0.347
Space group: I-4m2 (119)
DFT formation energy in eV/atom: 0.5267